Ti4NiP4O20: PBEsol geometry, SCAN.

a = 7.120 Å, b = 7.367 Å, c = 12.876 Å
α = 88.86°, β = 90.00°, γ = 90.00°
Fractional coordinates of all 58 atoms:
Ti: 0.775 0.361 0.367
Ti: 0.760 0.887 0.382
Ti: 0.240 0.113 0.618
Ti: 0.225 0.639 0.633
Ti: 0.740 0.387 0.882
Ti: 0.725 0.861 0.867
Ti: 0.275 0.139 0.133
Ti: 0.260 0.613 0.118
Ni: 0.500 0.500 0.500
Ni: 0.000 0.000 0.000
P: 0.372 0.126 0.380
P: 0.140 0.631 0.369
P: 0.860 0.369 0.631
P: 0.628 0.874 0.620
P: 0.360 0.131 0.869
P: 0.128 0.626 0.880
P: 0.872 0.374 0.120
P: 0.640 0.869 0.131
O: 0.260 0.125 0.277
O: 0.251 0.641 0.269
O: 0.827 0.124 0.379
O: 0.020 0.454 0.377
O: 0.654 0.605 0.405
O: 0.498 0.958 0.383
O: 0.493 0.304 0.384
O: 0.010 0.794 0.380
O: 0.233 0.127 0.469
O: 0.276 0.635 0.465
O: 0.724 0.365 0.535
O: 0.767 0.873 0.531
O: 0.990 0.206 0.620
O: 0.507 0.696 0.616
O: 0.502 0.042 0.617
O: 0.346 0.395 0.595
O: 0.980 0.546 0.623
O: 0.173 0.876 0.621
O: 0.749 0.359 0.731
O: 0.740 0.875 0.723
O: 0.249 0.141 0.769
O: 0.240 0.625 0.777
O: 0.846 0.105 0.905
O: 0.002 0.458 0.883
O: 0.673 0.624 0.879
O: 0.480 0.954 0.877
O: 0.490 0.294 0.880
O: 0.007 0.804 0.884
O: 0.224 0.135 0.965
O: 0.267 0.627 0.969
O: 0.733 0.373 0.031
O: 0.776 0.865 0.035
O: 0.993 0.196 0.116
O: 0.510 0.706 0.120
O: 0.520 0.046 0.123
O: 0.327 0.376 0.121
O: 0.998 0.542 0.117
O: 0.154 0.895 0.095
O: 0.760 0.375 0.223
O: 0.751 0.859 0.231

* total energy: -11.14 eV per atom